# 1
La2CoMo (GGA-PBE, optimized geometry); ΔH_f (0 K) = 0.429 eV/atom; offset from the most stable computed form = 25.4 kJ/mol of atoms; symmetry = P2/m
1.0
3.547 0.000 0.000
0.000 3.544 0.000
-0.015 0.000 7.419
La Co Mo
2 1 1
direct
0.000 0.000 0.238
0.000 0.000 0.762
0.500 0.500 0.000
0.500 0.500 0.500

# 2
La2CoMo (GGA-PBE, optimized geometry); ΔH_f (0 K) = 0.442 eV/atom; offset from the most stable computed form = 26.6 kJ/mol of atoms; symmetry = C2/m
1.0
3.591 -3.556 0.000
3.591 3.556 0.000
-0.408 0.000 3.545
La Co Mo
2 1 1
direct
0.000 0.500 0.000
0.500 0.000 0.000
0.000 0.000 0.500
0.500 0.500 0.500

# 3
LaCo2Mo (GGA-PBE, optimized geometry); ΔH_f (0 K) = 0.266 eV/atom; offset from the most stable computed form = 18.9 kJ/mol of atoms; symmetry = Pm
1.0
3.217 0.000 0.000
0.000 4.124 0.000
-1.304 0.000 5.347
La Co Mo
1 2 1
direct
0.000 0.000 0.000
0.368 0.000 0.505
0.402 0.500 0.783
0.756 0.500 0.455

# 4
LaCo2Mo (GGA-PBE, optimized geometry); ΔH_f (0 K) = 0.169 eV/atom; offset from the most stable computed form = 9.6 kJ/mol of atoms; symmetry = R3m
1.0
2.071 1.196 5.259
-2.071 1.196 5.259
0.000 -2.392 5.259
La Co Mo
1 2 1
direct
0.000 0.000 0.000
0.488 0.488 0.488
0.807 0.807 0.807
0.189 0.189 0.189

# 5
LaCo2Mo (GGA-PBE, optimized geometry); ΔH_f (0 K) = 0.556 eV/atom; offset from the most stable computed form = 46.9 kJ/mol of atoms; symmetry = F-43m
1.0
0.000 3.155 3.155
3.155 0.000 3.155
3.155 3.155 0.000
La Co Mo
1 2 1
direct
0.000 0.000 0.000
0.250 0.250 0.250
0.500 0.500 0.500
0.750 0.750 0.750

# 6
LaCo2Mo (GGA-PBE, optimized geometry); ΔH_f (0 K) = 0.610 eV/atom; offset from the most stable computed form = 52.1 kJ/mol of atoms; symmetry = I-4m2
1.0
-1.953 1.953 4.250
1.953 -1.953 4.250
1.953 1.953 -4.250
La Co Mo
1 2 1
direct
0.000 0.000 0.000
0.500 0.500 0.000
0.750 0.250 0.500
0.250 0.750 0.500

# 7
La2Co2Mo (GGA-PBE, optimized geometry); ΔH_f (0 K) = 0.222 eV/atom; symmetry = P4/mbm
1.0
6.618 0.000 0.000
0.000 6.618 0.000
0.000 0.000 4.634
La Co Mo
4 4 2
direct
0.175 0.325 0.000
0.325 0.825 0.000
0.675 0.175 0.000
0.825 0.675 0.000
0.146 0.646 0.500
0.354 0.146 0.500
0.646 0.854 0.500
0.854 0.354 0.500
0.000 0.000 0.500
0.500 0.500 0.500

# 8
LaCo2Mo (GGA-PBE, optimized geometry); ΔH_f (0 K) = 0.474 eV/atom; offset from the most stable computed form = 39.0 kJ/mol of atoms; symmetry = Imm2
1.0
-1.428 2.278 5.039
1.428 -2.278 5.039
1.428 2.278 -5.039
La Co Mo
1 2 1
direct
0.000 0.000 0.000
0.527 0.527 0.000
0.725 0.225 0.500
0.291 0.791 0.500

- Look up the ΔH_f (0 K) of the eighth one.
  0.474 eV/atom